# ZrZn3S

Crystalline ZrZn3S at its relaxed geometry (PBE, the Alexandria database).

Values from the calculation:
formation energy without anion corrections: 1.09 eV per atom
energy relative to the lowest polymorph listed for this composition: 566 meV/atom
symmetry: Pm-3m, No. 221
size of the total moment: 0.00 Bohr magnetons per cell

abc: 5.2810 5.2810 5.2810
angles: 90.00 90.00 90.00
With the nearest neighbours (Å) after each atom.
Positions (direct):
Zr 0.0000 0.0000 0.0000  6 Zn 2.64
Zn 0.0000 0.0000 0.5000  2 Zr 2.64
Zn 0.0000 0.5000 0.0000  2 Zr 2.64
Zn 0.5000 0.0000 0.0000  2 Zr 2.64
S 0.5000 0.5000 0.5000  12 Zn 3.73

***

# ZrZnS3

Crystalline ZrZnS3 at its relaxed geometry (PBE, the Alexandria database).

Values from the calculation:
formation energy without anion corrections: -1.04 eV per atom
energy relative to the lowest polymorph listed for this composition: 0 meV/atom
symmetry: P2_1/m, No. 11
size of the total moment: 0.00 Bohr magnetons per cell

abc: 6.4977 3.7682 9.5744
angles: 90.00 90.94 90.00
With the nearest neighbours (Å) after each atom.
Positions (direct):
Zr 0.2407 0.2500 0.0515  6 S 2.52-2.65
Zr 0.7593 0.7500 0.9485  6 S 2.52-2.65
Zn 0.4216 0.2500 0.5966  4 S 2.28-2.51
Zn 0.5784 0.7500 0.4034  4 S 2.28-2.51
S 0.0122 0.7500 0.1513  3 Zr 2.52-2.59
S 0.2534 0.7500 0.5228  3 Zn 2.28-2.42
S 0.4935 0.7500 0.1462  1 Zn 2.51, 3 Zr 2.58-2.65
S 0.5065 0.2500 0.8538  1 Zn 2.51, 3 Zr 2.58-2.65
S 0.7466 0.2500 0.4772  3 Zn 2.28-2.42
S 0.9878 0.2500 0.8487  3 Zr 2.52-2.59

***

# Zr9S2

Crystalline Zr9S2 at its relaxed geometry (PBE, the Alexandria database).

Values from the calculation:
formation energy without anion corrections: -0.61 eV per atom
symmetry: I4_1/amd, No. 141
size of the total moment: 0.00 Bohr magnetons per cell

abc: 11.9224 11.9224 11.9224
angles: 131.59 131.59 70.87
With the nearest neighbours (Å) after each atom.
Positions (direct):
Zr 0.0000 0.3203 0.3203  2 S 2.60
Zr 0.0000 0.6797 0.6797  2 S 2.60
Zr 0.0678 0.1455 0.5777  2 S 2.67
Zr 0.0678 0.4902 0.9223  2 S 2.67
Zr 0.0978 0.1986 0.8992  2 S 2.76, 2 Zr 2.92-3.08
Zr 0.1455 0.0678 0.0777  2 S 2.67
Zr 0.1719 0.6425 0.5295  2 S 2.73
Zr 0.1986 0.0978 0.3992  2 S 2.76, 2 Zr 2.92-3.08
Zr 0.1986 0.7994 0.1008  2 S 2.76, 2 Zr 2.92-3.08
Zr 0.2006 0.8014 0.3992  2 S 2.76, 2 Zr 2.92-3.08
Zr 0.2408 0.4908 0.7500  6 Zr 3.02-3.13
Zr 0.3203 0.0000 0.8203  2 S 2.60
Zr 0.3203 0.5000 0.3203  2 S 2.60
Zr 0.3575 0.3870 0.5295  2 S 2.73
Zr 0.3575 0.8281 0.9705  2 S 2.73
Zr 0.3870 0.3575 0.0295  2 S 2.73
Zr 0.4902 0.0678 0.4223  2 S 2.67
Zr 0.4908 0.2408 0.2500  6 Zr 3.02-3.13
Zr 0.5000 0.3203 0.8203  2 S 2.60
Zr 0.5000 0.6797 0.1797  2 S 2.60
Zr 0.5092 0.7592 0.7500  6 Zr 3.02-3.13
Zr 0.5098 0.9322 0.5777  2 S 2.67
Zr 0.6130 0.6425 0.9705  2 S 2.73
Zr 0.6425 0.1719 0.0295  2 S 2.73
Zr 0.6425 0.6130 0.4705  2 S 2.73
Zr 0.6797 0.0000 0.1797  2 S 2.60
Zr 0.6797 0.5000 0.6797  2 S 2.60
Zr 0.7592 0.5092 0.2500  6 Zr 3.02-3.13
Zr 0.7994 0.1986 0.6008  2 S 2.76, 2 Zr 2.92-3.08
Zr 0.8014 0.2006 0.8992  2 S 2.76, 2 Zr 2.92-3.08
Zr 0.8014 0.9022 0.6008  2 S 2.76, 2 Zr 2.92-3.08
Zr 0.8281 0.3575 0.4705  2 S 2.73
Zr 0.8545 0.9322 0.9223  2 S 2.67
Zr 0.9022 0.8014 0.1008  2 S 2.76, 2 Zr 2.92-3.08
Zr 0.9322 0.5098 0.0777  2 S 2.67
Zr 0.9322 0.8545 0.4223  2 S 2.67
S 0.1028 0.3528 0.2057  8 Zr 2.60-2.76
S 0.1028 0.8972 0.7500  8 Zr 2.60-2.76
S 0.3528 0.1028 0.7057  8 Zr 2.60-2.76
S 0.3528 0.6472 0.2500  8 Zr 2.60-2.76
S 0.6472 0.3528 0.7500  8 Zr 2.60-2.76
S 0.6472 0.8972 0.2943  8 Zr 2.60-2.76
S 0.8972 0.1028 0.2500  8 Zr 2.60-2.76
S 0.8972 0.6472 0.7943  8 Zr 2.60-2.76

***

# Zr5S8

Crystalline Zr5S8 at its relaxed geometry (PBE, the Alexandria database).

Values from the calculation:
formation energy without anion corrections: -1.46 eV per atom
symmetry: F-43m, No. 216
size of the total moment: 0.00 Bohr magnetons per cell

abc: 7.4882 7.4882 7.4882
angles: 60.00 60.00 60.00
With the nearest neighbours (Å) after each atom.
Positions (direct):
Zr 0.0000 0.0000 0.0000  4 S 2.46
Zr 0.3907 0.3907 0.3907  6 S 2.54-2.74
Zr 0.3907 0.3907 0.8280  6 S 2.54-2.74
Zr 0.3907 0.8280 0.3907  6 S 2.54-2.74
Zr 0.8280 0.3907 0.3907  6 S 2.54-2.74
S 0.1133 0.6289 0.6289  3 Zr 2.54
S 0.1340 0.1340 0.1340  4 Zr 2.46-2.74
S 0.1340 0.1340 0.5979  4 Zr 2.46-2.74
S 0.1340 0.5979 0.1340  4 Zr 2.46-2.74
S 0.5979 0.1340 0.1340  4 Zr 2.46-2.74
S 0.6289 0.1133 0.6289  3 Zr 2.54
S 0.6289 0.6289 0.1133  3 Zr 2.54
S 0.6289 0.6289 0.6289  3 Zr 2.54

***

# Zr2S

Crystalline Zr2S at its relaxed geometry (PBE, the Alexandria database).

Values from the calculation:
formation energy without anion corrections: -1.10 eV per atom
symmetry: Pnnm, No. 58
size of the total moment: 0.00 Bohr magnetons per cell

abc: 12.4019 15.3987 3.5457
angles: 90.00 90.00 90.00
With the nearest neighbours (Å) after each atom.
Positions (direct):
Zr 0.0336 0.1093 0.0000  3 S 2.74-2.86
Zr 0.0741 0.7510 0.5000  4 S 2.66-2.67
Zr 0.0857 0.5815 0.0000  3 S 2.67-2.82
Zr 0.1264 0.4193 0.5000  4 S 2.64-2.88
Zr 0.1561 0.9748 0.5000  4 S 2.66-2.68
Zr 0.2016 0.2042 0.5000  5 S 2.65-2.70
Zr 0.2984 0.7042 0.0000  5 S 2.65-2.70
Zr 0.3439 0.4748 0.0000  4 S 2.66-2.68
Zr 0.3736 0.9193 0.0000  4 S 2.64-2.88
Zr 0.4143 0.0815 0.5000  3 S 2.67-2.82
Zr 0.4259 0.2510 0.0000  4 S 2.66-2.67
Zr 0.4664 0.6093 0.5000  3 S 2.74-2.86
Zr 0.5336 0.3907 0.5000  3 S 2.74-2.86
Zr 0.5741 0.7490 0.0000  4 S 2.66-2.67
Zr 0.5857 0.9185 0.5000  3 S 2.67-2.82
Zr 0.6264 0.0807 0.0000  4 S 2.64-2.88
Zr 0.6561 0.5252 0.0000  4 S 2.66-2.68
Zr 0.7016 0.2958 0.0000  5 S 2.65-2.70
Zr 0.7984 0.7958 0.5000  5 S 2.65-2.70
Zr 0.8439 0.0252 0.5000  4 S 2.66-2.68
Zr 0.8736 0.5807 0.5000  4 S 2.64-2.88
Zr 0.9143 0.4185 0.0000  3 S 2.67-2.82
Zr 0.9259 0.2490 0.5000  4 S 2.66-2.67
Zr 0.9664 0.8907 0.0000  3 S 2.74-2.86
S 0.0781 0.2913 0.0000  8 Zr 2.67-2.86
S 0.1804 0.8477 0.0000  7 Zr 2.64-2.74
S 0.2464 0.5793 0.5000  8 Zr 2.67-2.88
S 0.2536 0.0793 0.0000  8 Zr 2.67-2.88
S 0.3196 0.3477 0.5000  7 Zr 2.64-2.74
S 0.4219 0.7913 0.5000  8 Zr 2.67-2.86
S 0.5781 0.2087 0.5000  8 Zr 2.67-2.86
S 0.6804 0.6523 0.5000  7 Zr 2.64-2.74
S 0.7464 0.9207 0.0000  8 Zr 2.67-2.88
S 0.7536 0.4207 0.5000  8 Zr 2.67-2.88
S 0.8196 0.1523 0.0000  7 Zr 2.64-2.74
S 0.9219 0.7087 0.0000  8 Zr 2.67-2.86

***

# ZrS

Crystalline ZrS at its relaxed geometry (PBE, the Alexandria database).

Values from the calculation:
formation energy without anion corrections: -1.20 eV per atom
symmetry: P6_3/m, No. 176
size of the total moment: 0.00 Bohr magnetons per cell

abc: 8.7853 8.7853 4.4801
angles: 90.00 90.00 120.00
With the nearest neighbours (Å) after each atom.
Positions (direct):
Zr 0.1156 0.6577 0.2500  4 S 2.51-2.60
Zr 0.3423 0.4578 0.2500  4 S 2.51-2.60
Zr 0.4578 0.1156 0.7500  4 S 2.51-2.60
Zr 0.5422 0.8844 0.2500  4 S 2.51-2.60
Zr 0.6577 0.5422 0.7500  4 S 2.51-2.60
Zr 0.8844 0.3423 0.7500  4 S 2.51-2.60
S 0.0027 0.3217 0.2500  4 Zr 2.51-2.60
S 0.3190 0.9973 0.2500  4 Zr 2.51-2.60
S 0.3217 0.3190 0.7500  4 Zr 2.51-2.60
S 0.6783 0.6810 0.2500  4 Zr 2.51-2.60
S 0.6810 0.0027 0.7500  4 Zr 2.51-2.60
S 0.9973 0.6783 0.7500  4 Zr 2.51-2.60

***

# Zr2S

Crystalline Zr2S at its relaxed geometry (PBE, the Alexandria database).

Values from the calculation:
formation energy without anion corrections: -0.96 eV per atom
symmetry: Pmc2_1, No. 26
size of the total moment: 0.00 Bohr magnetons per cell

abc: 3.4661 12.9455 10.9406
angles: 90.00 90.00 90.00
With the nearest neighbours (Å) after each atom.
Positions (direct):
Zr 0.0000 0.0049 0.0234  2 S 2.51
Zr 0.0000 0.1464 0.7356  3 S 2.52-2.60
Zr 0.0000 0.2367 0.4570  2 S 2.54
Zr 0.0000 0.4782 0.9881  3 S 2.50-2.54
Zr 0.0000 0.5218 0.4881  3 S 2.50-2.54
Zr 0.0000 0.7633 0.9570  2 S 2.54
Zr 0.0000 0.8536 0.2356  3 S 2.52-2.60
Zr 0.0000 0.9951 0.5234  2 S 2.51
Zr 0.5000 0.0966 0.2618  3 S 2.49-2.63
Zr 0.5000 0.2360 0.0000  5 S 2.54-2.72
Zr 0.5000 0.3770 0.7099  3 S 2.50-2.51
Zr 0.5000 0.3849 0.2476  3 S 2.56-2.65
Zr 0.5000 0.6151 0.7476  3 S 2.56-2.65
Zr 0.5000 0.6230 0.2099  3 S 2.50-2.51
Zr 0.5000 0.7640 0.5000  5 S 2.54-2.72
Zr 0.5000 0.9034 0.7618  3 S 2.49-2.63
S 0.0000 0.2372 0.1914  7 Zr 2.63-2.91
S 0.0000 0.3175 0.8608  6 Zr 2.50-2.60
S 0.0000 0.6825 0.3608  6 Zr 2.50-2.60
S 0.0000 0.7628 0.6914  7 Zr 2.63-2.91
S 0.5000 0.0696 0.8762  6 Zr 2.49-2.54
S 0.5000 0.3784 0.4813  6 Zr 2.50-2.56
S 0.5000 0.6216 0.9813  6 Zr 2.50-2.56
S 0.5000 0.9304 0.3762  6 Zr 2.49-2.54

***

# ZrS

Crystalline ZrS at its relaxed geometry (PBE, the Alexandria database).

Values from the calculation:
formation energy without anion corrections: -1.34 eV per atom
symmetry: Fm-3m, No. 225
size of the total moment: 0.00 Bohr magnetons per cell

abc: 5.2448 5.2448 5.2448
angles: 90.00 90.00 90.00
With the nearest neighbours (Å) after each atom.
Positions (direct):
Zr 0.0000 0.0000 0.0000  6 S 2.62
Zr 0.0000 0.5000 0.5000  6 S 2.62
Zr 0.5000 0.0000 0.5000  6 S 2.62
Zr 0.5000 0.5000 0.0000  6 S 2.62
S 0.0000 0.0000 0.5000  6 Zr 2.62
S 0.0000 0.5000 0.0000  6 Zr 2.62
S 0.5000 0.0000 0.0000  6 Zr 2.62
S 0.5000 0.5000 0.5000  6 Zr 2.62

***

# ZrS

Crystalline ZrS at its relaxed geometry (PBE, the Alexandria database).

Values from the calculation:
formation energy without anion corrections: -1.08 eV per atom
symmetry: P4/m, No. 83
size of the total moment: 0.00 Bohr magnetons per cell

abc: 10.6651 10.6651 3.9994
angles: 90.00 90.00 90.00
With the nearest neighbours (Å) after each atom.
Positions (direct):
Zr 0.0575 0.6314 0.0000  4 S 2.53-2.68
Zr 0.1566 0.2897 0.5000  4 S 2.48-2.53
Zr 0.2897 0.8434 0.5000  4 S 2.48-2.53
Zr 0.3686 0.0575 0.0000  4 S 2.53-2.68
Zr 0.6314 0.9425 0.0000  4 S 2.53-2.68
Zr 0.7103 0.1566 0.5000  4 S 2.48-2.53
Zr 0.8434 0.7103 0.5000  4 S 2.48-2.53
Zr 0.9425 0.3686 0.0000  4 S 2.53-2.68
S 0.0661 0.7775 0.5000  4 Zr 2.48-2.54
S 0.1858 0.4315 0.0000  4 Zr 2.53-2.68
S 0.2225 0.0661 0.5000  4 Zr 2.48-2.54
S 0.4315 0.8142 0.0000  4 Zr 2.53-2.68
S 0.5685 0.1858 0.0000  4 Zr 2.53-2.68
S 0.7775 0.9339 0.5000  4 Zr 2.48-2.54
S 0.8142 0.5685 0.0000  4 Zr 2.53-2.68
S 0.9339 0.2225 0.5000  4 Zr 2.48-2.54

***

# Zr3S4

Crystalline Zr3S4 at its relaxed geometry (PBE, the Alexandria database).

Values from the calculation:
formation energy without anion corrections: -1.29 eV per atom
energy relative to the lowest polymorph listed for this composition: 276 meV/atom
symmetry: Fd-3m, No. 227
size of the total moment: 0.00 Bohr magnetons per cell

abc: 7.6241 7.6241 7.6241
angles: 60.00 60.00 60.00
With the nearest neighbours (Å) after each atom.
Positions (direct):
Zr 0.0000 0.0000 0.0000  6 S 2.63
Zr 0.0000 0.0000 0.5000  6 S 2.63
Zr 0.0000 0.5000 0.0000  6 S 2.63
Zr 0.3750 0.3750 0.3750  4 S 2.45
Zr 0.5000 0.0000 0.0000  6 S 2.63
Zr 0.6250 0.6250 0.6250  4 S 2.45
S 0.2318 0.7561 0.7561  4 Zr 2.45-2.63
S 0.2439 0.2439 0.2439  4 Zr 2.45-2.63
S 0.2439 0.2439 0.7682  4 Zr 2.45-2.63
S 0.2439 0.7682 0.2439  4 Zr 2.45-2.63
S 0.7561 0.2318 0.7561  4 Zr 2.45-2.63
S 0.7561 0.7561 0.2318  4 Zr 2.45-2.63
S 0.7561 0.7561 0.7561  4 Zr 2.45-2.63
S 0.7682 0.2439 0.2439  4 Zr 2.45-2.63

***

# ZrS

Crystalline ZrS at its relaxed geometry (PBE, the Alexandria database).

Values from the calculation:
formation energy without anion corrections: -0.82 eV per atom
symmetry: Pm-3n, No. 223
size of the total moment: 0.00 Bohr magnetons per cell

abc: 7.0490 7.0490 7.0490
angles: 90.00 90.00 90.00
With the nearest neighbours (Å) after each atom.
Positions (direct):
Zr 0.0000 0.2500 0.5000  4 S 2.49
Zr 0.0000 0.7500 0.5000  4 S 2.49
Zr 0.2500 0.5000 0.0000  4 S 2.49
Zr 0.5000 0.0000 0.2500  4 S 2.49
Zr 0.5000 0.0000 0.7500  4 S 2.49
Zr 0.7500 0.5000 0.0000  4 S 2.49
S 0.0000 0.5000 0.2500  4 Zr 2.49
S 0.0000 0.5000 0.7500  4 Zr 2.49
S 0.2500 0.0000 0.5000  4 Zr 2.49
S 0.5000 0.2500 0.0000  4 Zr 2.49
S 0.5000 0.7500 0.0000  4 Zr 2.49
S 0.7500 0.0000 0.5000  4 Zr 2.49

***

# ZrS

Crystalline ZrS at its relaxed geometry (PBE, the Alexandria database).

Values from the calculation:
formation energy without anion corrections: -0.92 eV per atom
symmetry: I-43m, No. 217
size of the total moment: 0.00 Bohr magnetons per cell

abc: 7.9892 7.9892 7.9892
angles: 90.00 90.00 90.00
With the nearest neighbours (Å) after each atom.
Positions (direct):
Zr 0.1368 0.1368 0.8632  4 S 2.54-2.59
Zr 0.1368 0.8632 0.1368  4 S 2.54-2.59
Zr 0.3632 0.3632 0.3632  4 S 2.54-2.59
Zr 0.3632 0.6368 0.6368  4 S 2.54-2.59
Zr 0.6368 0.3632 0.6368  4 S 2.54-2.59
Zr 0.6368 0.6368 0.3632  4 S 2.54-2.59
Zr 0.8632 0.1368 0.1368  4 S 2.54-2.59
Zr 0.8632 0.8632 0.8632  4 S 2.54-2.59
S 0.1761 0.1761 0.1761  4 Zr 2.54-2.59
S 0.1761 0.8239 0.8239  4 Zr 2.54-2.59
S 0.3239 0.3239 0.6761  4 Zr 2.54-2.59
S 0.3239 0.6761 0.3239  4 Zr 2.54-2.59
S 0.6761 0.3239 0.3239  4 Zr 2.54-2.59
S 0.6761 0.6761 0.6761  4 Zr 2.54-2.59
S 0.8239 0.1761 0.8239  4 Zr 2.54-2.59
S 0.8239 0.8239 0.1761  4 Zr 2.54-2.59